# K2MoP2O9

K2MoP2O9 after structural relaxation (PBE with a Hubbard U, Alexandria).

The structure in extended XYZ format:
```
56
Lattice="8.1856 0.0024 0.0726 4.0298 7.1249 0.0726 2.2397 1.3068 15.5561" Properties=species:S:1:pos:R:3 pbc="T T T"
O 6.1520 5.3442 2.2841
O 8.7994 3.3796 10.0621
O 8.0005 3.8489 6.4999
O 3.5377 3.6663 5.9655
O 6.4241 3.5359 11.7613
O 10.9174 4.7678 9.7358
O 9.3358 5.2348 11.7181
O 11.0125 3.2773 12.7330
O 8.4073 5.7245 14.2780
O 4.2619 4.8014 0.3575
O 11.1028 5.7697 13.8029
O 7.3032 1.1130 10.7463
O 6.0478 2.7096 1.4233
O 7.9422 1.3883 5.7768
O 8.2187 1.5496 2.1465
O 7.0583 6.4330 7.5658
O 8.6876 5.8398 9.3771
O 10.1932 3.6328 15.3438
O 5.0889 2.2608 9.6765
O 8.4027 6.5049 1.9577
O 6.5129 7.0458 9.9245
O 8.2388 4.0363 1.5991
O 5.7675 2.5943 6.3242
O 8.3031 3.0900 13.4172
O 5.1193 3.1994 3.9832
O 6.0523 1.9292 13.7436
O 7.1519 7.3212 4.9550
O 6.4546 4.5852 9.2014
O 7.3968 2.0012 8.1356
O 8.0310 4.8983 3.9401
O 5.6557 5.0546 5.6392
O 3.4425 5.1568 2.9683
O 6.2163 4.3979 14.1023
O 9.3662 6.1734 6.0248
O 6.2364 6.8845 13.5548
O 3.3522 2.6644 1.8985
P 6.8871 5.8449 14.4212
P 6.7811 3.1409 13.2390
P 7.0978 5.9678 9.0582
P 4.9511 3.7045 5.4610
P 7.5680 2.5892 1.2801
P 7.6740 5.2932 2.4623
P 9.5040 4.7296 10.2404
P 7.3573 2.4663 6.6431
Mo 4.4590 3.9780 2.1995
Mo 6.7770 2.5779 9.9775
Mo 9.9961 4.4561 13.5019
Mo 7.6781 5.8563 5.7238
K 9.8527 2.5412 4.2353
K 2.7286 2.2684 8.2769
K 8.1802 7.9805 12.0134
K 6.2749 0.4537 3.6879
K 4.6023 5.8929 11.4660
K 12.2576 7.8283 15.2025
K 2.1975 0.6058 0.4988
K 11.7265 6.1657 7.4244
```

Output
- Raw total energy: -6.722 eV per atom
- SG: C2/c, No. 15